## TbH9C4N2O8 (PBE)

Data for TbH9C4N2O8 after structural relaxation.

Cell lengths 17.760, 6.489, 7.448 Å; angles 90.00, 90.00, 90.00 degrees
Fractional positions:
Tb  0.103  0.187  0.000
Tb  0.397  0.187  0.500
Tb  0.603  0.813  0.000
Tb  0.897  0.813  0.500
H  0.042  0.570  0.740
H  0.060  0.087  0.439
H  0.111  0.712  0.495
H  0.148  0.722  0.158
H  0.150  0.440  0.380
H  0.158  0.365  0.590
H  0.159  0.694  0.681
H  0.237  0.450  0.479
H  0.244  0.884  0.770
H  0.256  0.884  0.270
H  0.263  0.450  0.979
H  0.341  0.694  0.181
H  0.342  0.365  0.090
H  0.350  0.440  0.880
H  0.352  0.722  0.658
H  0.389  0.712  0.995
H  0.440  0.087  0.939
H  0.458  0.570  0.240
H  0.542  0.430  0.740
H  0.560  0.913  0.439
H  0.611  0.288  0.495
H  0.648  0.278  0.158
H  0.650  0.560  0.380
H  0.658  0.635  0.590
H  0.659  0.306  0.681
H  0.737  0.550  0.479
H  0.744  0.116  0.770
H  0.756  0.116  0.270
H  0.763  0.550  0.979
H  0.841  0.306  0.181
H  0.842  0.635  0.090
H  0.850  0.560  0.880
H  0.852  0.278  0.658
H  0.889  0.288  0.995
H  0.940  0.913  0.939
H  0.958  0.430  0.240
C  0.011  0.488  0.299
C  0.050  0.086  0.586
C  0.142  0.693  0.013
C  0.233  0.037  0.305
C  0.267  0.037  0.805
C  0.358  0.693  0.513
C  0.450  0.086  0.086
C  0.489  0.488  0.799
C  0.511  0.512  0.299
C  0.550  0.914  0.586
C  0.642  0.307  0.013
C  0.733  0.963  0.305
C  0.767  0.963  0.805
C  0.858  0.307  0.513
C  0.950  0.914  0.086
C  0.989  0.512  0.799
N  0.164  0.686  0.544
N  0.180  0.474  0.498
N  0.320  0.474  0.998
N  0.336  0.686  0.044
N  0.664  0.314  0.544
N  0.680  0.526  0.498
N  0.820  0.526  0.998
N  0.836  0.314  0.044
O  0.005  0.013  0.149
O  0.008  0.627  0.418
O  0.072  0.409  0.245
O  0.097  0.185  0.683
O  0.118  0.837  0.915
O  0.160  0.515  0.952
O  0.168  0.083  0.247
O  0.227  0.157  0.898
O  0.273  0.157  0.398
O  0.332  0.083  0.747
O  0.340  0.515  0.452
O  0.382  0.837  0.415
O  0.403  0.185  0.183
O  0.428  0.409  0.745
O  0.492  0.627  0.918
O  0.495  0.013  0.649
O  0.505  0.987  0.149
O  0.508  0.373  0.418
O  0.572  0.591  0.245
O  0.597  0.815  0.683
O  0.618  0.163  0.915
O  0.660  0.485  0.952
O  0.668  0.917  0.247
O  0.727  0.843  0.898
O  0.773  0.843  0.398
O  0.832  0.917  0.747
O  0.840  0.485  0.452
O  0.882  0.163  0.415
O  0.903  0.815  0.183
O  0.928  0.591  0.745
O  0.992  0.373  0.918
O  0.995  0.987  0.649

- Total magnetic moment: 0.00 μB per cell
- Final energy: -6.34 eV per atom